i | Material: DyHo2Al9
Method: DFT, PBE
State: relaxed

The structure in POSCAR format:
```
DyHo2Al9
1.0
5.557 0.000 0.000
2.778 4.812 0.000
2.778 1.604 8.747
Dy Ho Al
1 2 9
Direct
0.000 0.000 0.000
0.858 0.858 0.427
0.142 0.142 0.573
0.665 0.665 0.006
0.335 0.335 0.994
0.500 0.500 0.500
0.413 0.413 0.251
0.924 0.413 0.251
0.413 0.924 0.251
0.587 0.587 0.749
0.587 0.076 0.749
0.076 0.587 0.749
```

Output
- Calculated volume: 233.9 Å³ per cell
- Symmetry: R-3m, No. 166

ii | Material: DyHo2Al9
Method: DFT, PBE
State: relaxed

The structure in POSCAR format:
```
DyHo2Al9
1.0
-0.531 3.169 -2.781
-4.180 -0.029 0.765
1.654 8.494 9.363
Dy Ho Al
1 2 9
Direct
0.000 0.000 0.000
0.000 0.000 0.334
0.000 0.000 0.666
0.500 0.500 0.000
0.500 0.500 0.334
0.500 0.500 0.666
0.500 0.000 0.167
0.500 0.000 0.500
0.500 0.000 0.833
0.000 0.500 0.167
0.000 0.500 0.500
0.000 0.500 0.833
```

Output
- Calculated volume: 230.3 Å³ per cell
- Symmetry: P4/mmm, No. 123

Quick one: most stable of them? ii

i | Material: Re2SiTe
Method: DFT, PBE
State: relaxed

The structure in POSCAR format:
```
Re2SiTe
1.0
2.988 0.000 0.000
0.000 2.988 0.000
0.000 0.000 7.825
Re Si Te
2 1 1
Direct
0.000 0.000 0.033
0.500 0.500 0.248
0.000 0.000 0.441
0.500 0.500 0.778
```

Output
- Calculated volume: 69.9 Å³ per cell
- Symmetry: P4mm, No. 99

ii | Material: Re2SiTe
Method: DFT, PBE
State: relaxed

The structure in POSCAR format:
```
Re2SiTe
1.0
2.868 0.025 0.000
-1.195 2.608 0.000
0.000 0.000 9.684
Re Si Te
2 1 1
Direct
0.000 0.000 0.029
0.500 0.500 0.245
0.000 0.000 0.451
0.500 0.500 0.775
```

Output
- Calculated volume: 72.7 Å³ per cell
- Symmetry: Cmm2, No. 35

Quick one: most stable of them? i

i | Material: Be3C
Method: DFT, PBE
State: relaxed

The structure in POSCAR format:
```
Be3C
1.0
-0.064 1.798 3.384
2.330 -2.669 1.462
3.042 2.082 -1.048
Be C
6 2
Direct
0.750 0.500 0.000
0.250 0.500 0.000
0.000 0.750 0.500
0.000 0.250 0.500
0.500 0.000 0.250
0.500 0.000 0.750
0.000 0.000 0.000
0.500 0.500 0.500
```

Output
- Calculated volume: 56.3 Å³ per cell
- Symmetry: Pm-3n, No. 223

ii | Material: Be3C
Method: DFT, PBE
State: relaxed

The structure in POSCAR format:
```
Be3C
1.0
0.734 3.400 2.214
-1.061 0.315 -3.972
-3.604 0.144 0.974
Be C
6 2
Direct
0.834 0.668 0.250
0.332 0.166 0.250
0.834 0.166 0.250
0.166 0.332 0.750
0.668 0.834 0.750
0.166 0.834 0.750
0.333 0.667 0.250
0.667 0.333 0.750
```

Output
- Calculated volume: 55.0 Å³ per cell
- Symmetry: P6_3/mmc, No. 194

Quick one: most stable of them? ii

i | Material: B5C7
Method: DFT, PBE
State: relaxed

The structure in POSCAR format:
```
B5C7
1.0
-1.423 -3.610 1.748
0.959 -3.116 2.735
-2.691 7.561 2.715
B C
5 7
Direct
0.618 0.618 0.300
0.488 0.488 0.421
0.331 0.331 0.176
0.048 0.048 0.971
0.871 0.871 0.052
0.130 0.130 0.198
0.696 0.696 0.825
0.527 0.527 0.858
0.329 0.329 0.664
0.176 0.176 0.715
0.980 0.980 0.519
0.806 0.806 0.550
```

Output
- Calculated volume: 75.4 Å³ per cell
- Symmetry: Cm, No. 8

ii | Material: B5C7
Method: DFT, PBE
State: relaxed

The structure in POSCAR format:
```
B5C7
1.0
3.765 -0.115 -2.159
2.944 2.351 -2.159
-0.133 -0.044 8.375
B C
5 7
Direct
0.634 0.634 0.321
0.453 0.453 0.397
0.179 0.179 0.195
0.865 0.865 0.056
0.521 0.521 0.876
0.382 0.382 0.178
0.013 0.013 0.978
0.682 0.682 0.818
0.320 0.320 0.656
0.169 0.169 0.710
0.974 0.974 0.514
0.809 0.809 0.550
```

Output
- Calculated volume: 76.2 Å³ per cell
- Symmetry: Cm, No. 8

Quick one: most stable of them? i

i | Material: CaRe
Method: DFT, PBE
State: relaxed

The structure in POSCAR format:
```
CaRe
1.0
3.068 0.000 0.000
0.000 4.240 0.000
0.000 0.000 7.502
Re Ca
2 2
Direct
0.500 0.000 0.589
0.500 0.500 0.744
0.000 0.000 0.969
0.000 0.500 0.364
```

Output
- Calculated volume: 97.6 Å³ per cell
- Symmetry: Pmma, No. 51

ii | Material: CaRe
Method: DFT, PBE
State: relaxed

The structure in POSCAR format:
```
CaRe
1.0
1.652 -2.313 -4.368
2.886 -3.920 -1.859
-5.693 -7.364 -1.915
Ca Re
3 3
Direct
0.322 0.322 0.769
0.678 0.678 0.231
0.000 0.000 0.000
0.000 0.000 0.500
0.339 0.339 0.412
0.661 0.661 0.588
```

Output
- Calculated volume: 142.8 Å³ per cell
- Symmetry: C2/m, No. 12

Quick one: most stable of them? ii

i | Material: Sb
Method: DFT, PBE
State: relaxed

The structure in POSCAR format:
```
Sb
1.0
-1.902 4.021 1.109
-1.273 -4.296 -0.973
1.855 -0.885 4.098
Sb
2
Direct
0.125 0.875 0.750
0.875 0.125 0.250
```

Output
- Calculated volume: 58.9 Å³ per cell
- Symmetry: I4_1/amd, No. 141

ii | Material: Sb
Method: DFT, PBE
State: relaxed

The structure in POSCAR format:
```
Sb
1.0
6.663 -0.314 -0.387
-2.186 8.454 -0.533
-0.593 -4.352 8.250
Sb
14
Direct
0.000 0.000 0.000
0.000 0.500 0.000
0.500 0.500 0.500
0.500 0.000 0.500
0.179 0.695 0.570
0.821 0.305 0.430
0.648 0.607 0.868
0.352 0.393 0.132
0.148 0.107 0.368
0.852 0.893 0.632
0.750 0.750 0.250
0.250 0.250 0.750
0.321 0.805 0.931
0.679 0.195 0.069
```

Output
- Calculated volume: 437.9 Å³ per cell
- Symmetry: P-1, No. 2

Quick one: most stable of them? i

i | Material: YTa2
Method: DFT, PBE
State: relaxed

The structure in POSCAR format:
```
YTa2
1.0
-1.268 1.110 -4.623
-3.448 -0.265 3.501
0.392 3.002 0.613
Ta Y
2 1
Direct
0.333 0.667 0.423
0.667 0.333 0.577
0.000 0.000 0.000
```

Output
- Calculated volume: 64.8 Å³ per cell
- Symmetry: P-3m1, No. 164

ii | Material: YTa2
Method: DFT, PBE
State: relaxed

The structure in POSCAR format:
```
YTa2
1.0
1.810 -5.397 -1.684
0.972 -4.874 3.247
-3.784 4.437 -1.114
Y Ta
1 2
Direct
0.000 0.000 0.000
0.698 0.698 0.000
0.302 0.302 0.000
```

Output
- Calculated volume: 68.0 Å³ per cell
- Symmetry: I4/mmm, No. 139

Quick one: most stable of them? ii

i | Material: Tl2CrCl
Method: DFT, PBE
State: relaxed

The structure in POSCAR format:
```
Tl2CrCl
1.0
-2.576 2.223 1.087
-3.072 -0.427 -6.405
-4.197 -3.553 -2.679
Cr Tl Cl
1 2 1
Direct
0.000 0.000 0.500
0.000 0.000 0.000
0.500 0.500 0.000
0.500 0.500 0.500
```

Output
- Calculated volume: 107.1 Å³ per cell
- Symmetry: P2/m, No. 10

ii | Material: Tl2CrCl
Method: DFT, PBE
State: relaxed

The structure in POSCAR format:
```
Tl2CrCl
1.0
6.318 -0.007 0.002
2.846 5.640 -0.002
-3.715 -4.227 2.871
Cr Tl Cl
1 2 1
Direct
0.275 0.775 0.500
0.037 0.037 0.000
0.745 0.245 0.500
0.443 0.443 0.000
```

Output
- Calculated volume: 102.3 Å³ per cell
- Symmetry: Imm2, No. 44

Quick one: most stable of them? ii